Entry 1:
Here is crystalline LaSm3Cd at its relaxed geometry from the Alexandria database. Energies are from PBE.

POSCAR file:
```
LaSm3Cd
1.0
3.784 0.000 0.000
1.891 6.650 0.000
0.006 0.701 12.900
La Sm Cd
2 6 2
Direct
0.231 0.036 0.251 La
0.769 0.964 0.749 La
0.037 0.426 0.689 Sm
0.146 0.210 0.950 Sm
0.367 0.768 0.525 Sm
0.633 0.232 0.475 Sm
0.854 0.790 0.050 Sm
0.963 0.574 0.311 Sm
0.449 0.603 0.873 Cd
0.551 0.397 0.127 Cd
```

Values from the calculation:
DFT formation energy (eV per atom): -0.11
Relative energy among the computed polymorphs (kJ/mol of atoms): 0.0

***

Entry 2:
Here is crystalline Tb3Ho3Ge4 at its relaxed geometry from the Alexandria database. Energies are from PBE.

POSCAR file:
```
Tb3Ho3Ge4
1.0
4.251 0.000 0.000
0.000 5.358 5.363
0.000 -5.358 5.363
Tb Ho Ge
3 3 4
Direct
0.000 0.000 0.000 Tb
0.000 0.499 0.845 Tb
0.000 0.845 0.499 Tb
0.000 0.345 0.345 Ho
0.500 0.172 0.673 Ho
0.500 0.673 0.172 Ho
0.500 0.049 0.298 Ge
0.500 0.298 0.049 Ge
0.500 0.546 0.546 Ge
0.500 0.797 0.797 Ge
```

Values from the calculation:
DFT formation energy (eV per atom): -0.79

***

Entry 3:
Here is crystalline CeHfOs at its relaxed geometry from the Alexandria database. Energies are from PBE.

POSCAR file:
```
CeHfOs
1.0
-1.610 1.610 6.419
1.610 -1.610 6.419
1.610 1.610 -6.419
Ce Hf Os
1 1 1
Direct
0.000 0.000 0.000 Ce
0.274 0.274 0.000 Hf
0.658 0.658 0.000 Os
```

Values from the calculation:
DFT formation energy (eV per atom): -0.20
Relative energy among the computed polymorphs (kJ/mol of atoms): 3.4

***

Entry 4:
Here is crystalline SnPd3 at its relaxed geometry from the Alexandria database. Energies are from PBE.

POSCAR file:
```
SnPd3
1.0
4.041 0.000 0.000
0.000 4.041 0.000
0.000 0.000 4.041
Sn Pd
1 3
Direct
0.000 0.000 0.000 Sn
0.000 0.500 0.500 Pd
0.500 0.000 0.500 Pd
0.500 0.500 0.000 Pd
```

Values from the calculation:
DFT formation energy (eV per atom): -0.50